1.
A plane-wave DFT calculation with PBEsol was carried out for Cr4MoSe after structural relaxation.

Computed properties:
The formation energy (no corrections) comes out at 380.2 meV per atom. The calculation puts the volume at 76.1 Å³ per cell. Its crystal system is cubic. As for the density of states at the Fermi level: 6.66 states/eV/cell.

Unit cell a=4.757 b=4.757 c=4.757 alpha=60.00 beta=60.00 gamma=60.00
Fractional coordinates of all 6 atoms:
Cr1 0.124 0.124 0.124
Cr2 0.124 0.124 0.627
Cr3 0.124 0.627 0.124
Cr4 0.627 0.124 0.124
Mo1 0.500 0.500 0.500
Se1 0.750 0.750 0.750

=====

2.
A plane-wave DFT calculation with PBEsol was carried out for NaZn2SO after structural relaxation.

Computed properties:
The formation energy (no corrections) comes out at 685.7 meV per atom. The calculation puts the volume at 90.8 Å³ per cell. Its crystal system is tetragonal. As for the density of states at the Fermi level: 2.37 states/eV/cell.

Unit cell a=4.904 b=4.904 c=3.776 alpha=90.00 beta=90.00 gamma=90.00
Fractional coordinates of all 5 atoms:
Na1 0.000 0.000 0.000
Zn1 0.000 0.500 0.000
Zn2 0.500 0.000 0.000
S1 0.500 0.500 0.500
O1 0.000 0.000 0.500

=====

3.
A plane-wave DFT calculation with PBEsol was carried out for Sr2InPb2 after structural relaxation.

Computed properties:
Its formation energy is -0.4681 eV per atom. The calculation puts the volume at 324.2 Å³ per cell. Its crystal system is tetragonal. As for the density of states at the Fermi level: 5.04 states/eV/cell.

Unit cell a=8.023 b=8.023 c=5.038 alpha=90.00 beta=90.00 gamma=90.00
Fractional coordinates of all 10 atoms:
Sr1 0.169 0.331 0.000
Sr2 0.331 0.831 0.000
Sr3 0.669 0.169 0.000
Sr4 0.831 0.669 0.000
In1 0.000 0.000 0.500
In2 0.500 0.500 0.500
Pb1 0.137 0.637 0.500
Pb2 0.363 0.137 0.500
Pb3 0.637 0.863 0.500
Pb4 0.863 0.363 0.500

=====

4.
A plane-wave DFT calculation with PBEsol was carried out for MgHg2P after structural relaxation.

Computed properties:
Its formation energy is 0.0753 eV per atom. The calculation puts the volume at 80.7 Å³ per cell. Its crystal system is tetragonal. As for the density of states at the Fermi level: 1.87 states/eV/cell.

Unit cell a=3.838 b=3.838 c=5.477 alpha=90.00 beta=90.00 gamma=90.00
Fractional coordinates of all 4 atoms:
Mg1 0.000 0.000 0.000
Hg1 0.500 0.500 0.253
Hg2 0.500 0.500 0.747
P1 0.000 0.000 0.500

=====

5.
A plane-wave DFT calculation with PBEsol was carried out for BaHfPS2 after structural relaxation.

Computed properties:
The formation energy (no corrections) comes out at -243.6 meV per atom. The calculation puts the volume at 173.7 Å³ per cell. Its crystal system is tetragonal. As for the density of states at the Fermi level: 3.61 states/eV/cell.

Unit cell a=4.774 b=4.774 c=7.620 alpha=90.00 beta=90.00 gamma=90.00
Fractional coordinates of all 5 atoms:
Ba1 0.000 0.000 0.000
Hf1 0.000 0.000 0.500
P1 0.500 0.500 0.000
S1 0.000 0.500 0.500
S2 0.500 0.000 0.500

=====

6.
A plane-wave DFT calculation with PBEsol was carried out for Ti3IBr after structural relaxation.

Computed properties:
The formation energy (no corrections) comes out at 569.5 meV per atom. The calculation puts the volume at 104.8 Å³ per cell. Its crystal system is cubic. As for the density of states at the Fermi level: 6.16 states/eV/cell.

Unit cell a=4.714 b=4.714 c=4.714 alpha=90.00 beta=90.00 gamma=90.00
Fractional coordinates of all 5 atoms:
Ti1 0.000 0.000 0.500
Ti2 0.000 0.500 0.000
Ti3 0.500 0.000 0.000
I1 0.500 0.500 0.500
Br1 0.000 0.000 0.000

=====

7.
A plane-wave DFT calculation with PBEsol was carried out for Mo2RuPt after structural relaxation.

Computed properties:
Its formation energy is -0.2027 eV per atom. The calculation puts the volume at 58.1 Å³ per cell. The value obtained for the energy above the most stable polymorph in this dataset is 0.0 meV/atom. Its crystal system is tetragonal. As for the density of states at the Fermi level: 2.23 states/eV/cell.

Unit cell a=4.751 b=4.751 c=4.751 alpha=131.97 beta=131.97 gamma=70.28
Fractional coordinates of all 4 atoms:
Mo1 0.250 0.750 0.500
Mo2 0.750 0.250 0.500
Ru1 0.000 0.000 0.000
Pt1 0.500 0.500 0.000

=====

8.
A plane-wave DFT calculation with PBEsol was carried out for CaMo3 after structural relaxation.

Computed properties:
Its formation energy is 0.6984 eV per atom. The calculation puts the volume at 67.6 Å³ per cell. The value obtained for the energy above the most stable polymorph in this dataset is 0.0 meV/atom. Its crystal system is trigonal. As for the density of states at the Fermi level: 4.12 states/eV/cell.

Unit cell a=5.479 b=5.479 c=5.479 alpha=117.41 beta=117.41 gamma=117.41
Fractional coordinates of all 4 atoms:
Ca1 0.000 0.000 0.000
Mo1 0.000 0.500 0.500
Mo2 0.500 0.000 0.500
Mo3 0.500 0.500 0.000

=====

9.
A plane-wave DFT calculation with PBEsol was carried out for Li4MoBr after structural relaxation.

Computed properties:
The formation energy (no corrections) comes out at 548.9 meV per atom. The calculation puts the volume at 105.6 Å³ per cell. Its crystal system is cubic. As for the density of states at the Fermi level: 3.04 states/eV/cell.

Unit cell a=5.305 b=5.305 c=5.305 alpha=60.00 beta=60.00 gamma=60.00
Fractional coordinates of all 6 atoms:
Li1 0.123 0.123 0.123
Li2 0.123 0.123 0.631
Li3 0.123 0.631 0.123
Li4 0.631 0.123 0.123
Mo1 0.750 0.750 0.750
Br1 0.500 0.500 0.500

=====

10.
A plane-wave DFT calculation with PBEsol was carried out for LaTcRu2 after structural relaxation.

Computed properties:
Its formation energy is 0.2279 eV per atom. The calculation puts the volume at 82.9 Å³ per cell. The value obtained for the energy above the most stable polymorph in this dataset is 0.0 meV/atom. Its crystal system is trigonal. As for the density of states at the Fermi level: 3.81 states/eV/cell.

Unit cell a=5.714 b=5.714 c=5.714 alpha=44.35 beta=44.35 gamma=44.35
Fractional coordinates of all 4 atoms:
La1 0.000 0.000 0.000
Tc1 0.500 0.500 0.500
Ru1 0.191 0.191 0.191
Ru2 0.809 0.809 0.809

=====

11.
A plane-wave DFT calculation with PBEsol was carried out for Tl2HgOs after structural relaxation.

Computed properties:
Its formation energy is 0.6843 eV per atom. The calculation puts the volume at 85.3 Å³ per cell. The value obtained for the energy above the most stable polymorph in this dataset is 0.0 meV/atom. Its crystal system is trigonal. As for the density of states at the Fermi level: 2.72 states/eV/cell.

Unit cell a=10.710 b=10.710 c=10.710 alpha=16.39 beta=16.39 gamma=16.39
Fractional coordinates of all 4 atoms:
Tl1 0.000 0.000 0.000
Tl2 0.233 0.233 0.233
Hg1 0.756 0.756 0.756
Os1 0.494 0.494 0.494

=====

12.
A plane-wave DFT calculation with PBEsol was carried out for KFeP2 after structural relaxation.

Computed properties:
Its formation energy is -0.1864 eV per atom. The calculation puts the volume at 61.5 Å³ per cell. The value obtained for the energy above the most stable polymorph in this dataset is 0.0 meV/atom. Its crystal system is tetragonal. As for the density of states at the Fermi level: 0.73 states/eV/cell.

Unit cell a=2.832 b=2.832 c=7.665 alpha=90.00 beta=90.00 gamma=90.00
Fractional coordinates of all 4 atoms:
K1 0.000 0.000 0.000
Fe1 0.000 0.000 0.500
P1 0.500 0.500 0.327
P2 0.500 0.500 0.673